Record 1
Density functional theory data (PBE) for a relaxed HoScW2C3 crystal.

Cell lengths 5.956, 5.956, 5.585 Å; angles 109.81, 109.81, 31.74 degrees
Sites, in units of the cell vectors:
W1 0.848 0.848 0.673
W2 0.155 0.155 0.330
C1 0.250 0.250 0.742
C2 0.998 0.998 0.011
C3 0.756 0.756 0.260
Sc1 0.384 0.384 0.163
Ho1 0.609 0.609 0.821

Calculated values
Space group: Cm, No. 8
E_tot in eV/f.u.: -67.097

=====

Record 2
Density functional theory data (PBE) for a relaxed AlPt2O4 crystal.

Cell lengths 6.096, 6.096, 6.096 Å; angles 122.11, 86.39, 122.11 degrees
Sites, in units of the cell vectors:
O1 0.710 0.799 0.509
O2 0.089 0.799 0.290
O3 0.040 0.701 0.741
O4 0.710 0.201 0.911
O5 0.040 0.299 0.339
O6 0.491 0.201 0.290
O7 0.259 0.299 0.960
O8 0.661 0.701 0.960
Al1 0.000 0.000 0.000
Al2 0.750 0.500 0.250
Pt1 0.375 0.750 0.625
Pt2 0.875 0.250 0.625
Pt3 0.375 0.750 0.125
Pt4 0.375 0.250 0.625

Calculated values
Space group: I4_1/amd, No. 141
E_tot in eV/f.u.: -42.938

=====

Record 3
Density functional theory data (PBE) for a relaxed Hf2Zr4As3N3 crystal.

Cell lengths 5.945, 5.945, 12.814 Å; angles 103.40, 103.40, 60.01 degrees
Sites, in units of the cell vectors:
As1 0.745 0.583 0.249
As2 0.913 0.087 0.750
As3 0.417 0.255 0.251
As4 0.087 0.913 0.250
As5 0.583 0.745 0.749
As6 0.255 0.417 0.751
Zr1 0.868 0.699 0.598
Zr2 0.197 0.035 0.598
Zr3 0.035 0.197 0.098
Zr4 0.965 0.803 0.902
Zr5 0.699 0.868 0.098
Zr6 0.803 0.965 0.402
Zr7 0.301 0.132 0.902
Zr8 0.132 0.301 0.402
N1 0.180 0.660 0.500
N2 0.340 0.820 0.000
N3 0.820 0.340 0.500
N4 0.660 0.180 0.000
N5 0.500 0.000 0.500
N6 0.000 0.500 0.000
Hf1 0.363 0.532 0.096
Hf2 0.637 0.468 0.904
Hf3 0.532 0.363 0.596
Hf4 0.468 0.637 0.404

Calculated values
Space group: C2/c, No. 15
E_tot in eV/f.u.: -109.114

=====

Record 4
Density functional theory data (PBE) for a relaxed TlIrAu3Se4 crystal.

Cell lengths 6.317, 6.317, 6.317 Å; angles 90.00, 90.00, 90.00 degrees
Sites, in units of the cell vectors:
Au1 0.500 0.500 0.000
Au2 0.000 0.500 0.500
Au3 0.500 0.000 0.500
Tl1 0.000 0.000 0.000
Se1 0.276 0.724 0.724
Se2 0.276 0.276 0.276
Se3 0.724 0.724 0.276
Se4 0.724 0.276 0.724
Ir1 0.500 0.500 0.500

Calculated values
Space group: P-43m, No. 215
E_tot in eV/f.u.: -33.553